Below is TlCoRe2F after structural relaxation, with properties calculated at the PBE with a Hubbard U level.

```
TlCoRe2F
1.0
4.4564 0.0000 0.0000
0.0000 4.4564 0.0000
0.0000 0.0000 5.0636
Tl Co Re F
1 1 2 1
direct
0.0000 0.0000 0.0000
0.0000 0.0000 0.5000
0.0000 0.5000 0.5000
0.5000 0.0000 0.5000
0.5000 0.5000 0.0000
```

Calculated values
**Fermi-level density of states**: 4.4 states/eV/cell
**E_tot**: -5.2909 eV/atom
**Theoretical density**: 10.811 Mg/m³